No. 1
Pr3Ge2I2 | Alexandria | PBE-GGA | relaxed; uncorrected energy = -4.690 eV/atom; formation energy from raw total energies = -594 kJ/mol of formula units
1.0
4.2853 0.0052 0.0062
-2.1193 7.2170 -0.1172
0.0029 -1.2212 8.1008
I Pr Ge
2 3 2
Direct
0.8754 0.7556 0.6164
0.1246 0.2444 0.3836
0.0000 0.0000 0.0000
0.2410 0.4856 0.7759
0.7590 0.5144 0.2241
0.3751 0.7469 0.0982
0.6249 0.2531 0.9018



No. 2
Pr3GeI3 | Alexandria | PBE-GGA | relaxed; uncorrected energy = -4.587 eV/atom; offset from the most stable computed form = 0 meV per atom; formation energy from raw total energies = -820 kJ/mol of formula units
1.0
-0.9229 -3.9936 1.5790
4.7012 -3.8325 -6.9456
10.5109 0.3631 7.0615
Ge Pr I
2 6 6
Direct
0.2500 0.8817 0.3811
0.7500 0.1183 0.6189
0.7500 0.1016 0.3837
0.7500 0.6724 0.3788
0.2500 0.8819 0.1550
0.2500 0.8984 0.6163
0.7500 0.1181 0.8450
0.2500 0.3276 0.6212
0.7500 0.6168 0.6347
0.7500 0.1380 0.1193
0.2500 0.3832 0.3653
0.2500 0.8620 0.8807
0.2500 0.3714 0.8749
0.7500 0.6286 0.1251



No. 3
Pr6GePt2I3 | Alexandria | PBE-GGA | relaxed; uncorrected energy = -5.206 eV/atom; formation energy from raw total energies = -1201 kJ/mol of formula units
1.0
7.5613 -0.0060 -0.0005
-3.7840 6.5464 -0.0005
-1.2608 -2.1830 7.9478
Pr I Pt Ge
6 3 2 1
Direct
0.2777 0.2777 0.8075
0.7223 0.7223 0.1925
0.4077 0.0658 0.1926
0.0658 0.4077 0.1926
0.5923 0.9342 0.8074
0.9342 0.5923 0.8074
0.1619 0.8381 0.5000
0.8381 0.1619 0.5000
0.5000 0.5000 0.5000
0.3328 0.6672 0.0000
0.6672 0.3328 0.0000
0.0000 0.0000 0.0000



No. 4
Pr8Ge3PtI4 | Alexandria | PBE-GGA | relaxed; uncorrected energy = -5.042 eV/atom; formation energy from raw total energies = -1577 kJ/mol of formula units
1.0
-2.6486 -6.5192 5.2989
7.4253 1.3063 5.3186
-5.3183 6.8487 -1.5540
Ge Pr I Pt
3 8 4 1
Direct
0.5000 0.5000 0.0000
0.5000 0.5000 0.5000
0.0000 0.5000 0.5000
0.7344 0.7033 0.4688
0.2297 0.6986 0.4593
0.7703 0.3014 0.0311
0.7703 0.3014 0.5407
0.2656 0.2967 0.5312
0.2608 0.3014 0.0311
0.7392 0.6986 0.9689
0.2297 0.6986 0.9689
0.5000 0.0000 0.0000
0.5000 0.0000 0.5000
0.0000 0.0000 0.0000
0.0000 0.0000 0.5000
0.0000 0.5000 0.0000